[1]
VASP calculation (PBE) on a geometry-optimized Hf2Al3Ge structure.

* DOS at the Fermi energy: 4.98 states/eV/cell
* mass density: 7.704 g/cm3
* magnetic moment: 0.0 μB per formula unit
* energy: -37.679 eV per formula unit
* formation energy from the elements: -321 meV/atom

a = 6.4974 Å, b = 6.4974 Å, c = 10.0371 Å
α = 111.60°, β = 111.60°, γ = 34.25°
Closest atoms and distances in Å follow each position.
Element x y z (fractional)
Hf 0.0120 0.0120 0.3455  4 Ge 2.82-2.85, 4 Al 2.90-3.09, 2 Hf 3.15
Hf 0.2832 0.2832 0.6424  3 Ge 2.71-2.86, 3 Al 2.94-2.95
Hf 0.7168 0.7168 0.3576  3 Ge 2.71-2.86, 3 Al 2.94-2.95
Hf 0.9880 0.9880 0.6545  4 Ge 2.82-2.85, 4 Al 2.90-3.09, 2 Hf 3.15
Al 0.1230 0.1230 0.1184  8 Al 2.79-3.06, 3 Hf 2.94-3.09
Al 0.2148 0.2148 0.8934  8 Al 2.75-2.97, 2 Hf 2.91-2.95
Al 0.4576 0.4576 0.1121  8 Al 2.79-2.97, 2 Hf 2.90
Al 0.5424 0.5424 0.8879  8 Al 2.79-2.97, 2 Hf 2.90
Al 0.7852 0.7852 0.1066  8 Al 2.75-2.97, 2 Hf 2.91-2.95
Al 0.8770 0.8770 0.8816  8 Al 2.79-3.06, 3 Hf 2.94-3.09
Ge 0.3844 0.3844 0.4305  1 Ge 2.67, 7 Hf 2.71-2.86
Ge 0.6156 0.6156 0.5695  1 Ge 2.67, 7 Hf 2.71-2.86


[2]
VASP calculation (PBE) on a geometry-optimized SrZn2Co2 structure.

* DOS at the Fermi energy: 20.86 states/eV/cell
* mass density: 6.219 g/cm3
* magnetic moment: 1.8 μB per formula unit
* energy: -17.894 eV per formula unit
* energy relative to the lowest polymorph listed for this composition: 0.00 eV/f.u.
* formation energy from the elements: 109 meV/atom

a = 4.3014 Å, b = 4.3014 Å, c = 9.7062 Å
α = 90.00°, β = 90.00°, γ = 90.00°
Closest atoms and distances in Å follow each position.
Element x y z (fractional)
Sr 0.0000 0.0000 0.0000  8 Co 3.24, 8 Zn 3.24
Sr 0.5000 0.5000 0.5000  8 Co 3.24, 8 Zn 3.24
Zn 0.0000 0.5000 0.2500  4 Co 2.52
Zn 0.0000 0.5000 0.7500  4 Co 2.52
Zn 0.5000 0.0000 0.2500  4 Co 2.52
Zn 0.5000 0.0000 0.7500  4 Co 2.52
Co 0.0000 0.0000 0.3851  1 Co 2.23
Co 0.0000 0.0000 0.6149  1 Co 2.23
Co 0.5000 0.5000 0.1149  1 Co 2.23
Co 0.5000 0.5000 0.8851  1 Co 2.23


[3]
VASP calculation (PBE) on a geometry-optimized HfGeS2N structure.

* DOS at the Fermi energy: 2.26 states/eV/cell
* mass density: 5.329 g/cm3
* magnetic moment: 1.0 μB per formula unit
* energy: -31.984 eV per formula unit
* energy relative to the lowest polymorph listed for this composition: 0.00 eV/f.u.

a = 5.0183 Å, b = 5.0183 Å, c = 4.0744 Å
α = 90.00°, β = 90.00°, γ = 90.00°
Closest atoms and distances in Å follow each position.
Element x y z (fractional)
Hf 0.0000 0.0000 0.0000  2 N 2.04
Ge 0.5000 0.5000 0.5000  8 S 3.23, 4 N 3.55
S 0.0000 0.5000 0.0000  2 Hf 2.51
S 0.5000 0.0000 0.0000  2 Hf 2.51
N 0.0000 0.0000 0.5000  2 Hf 2.04


[4]
VASP calculation (PBE) on a geometry-optimized KPu3Be4O12 structure.

* DOS at the Fermi energy: 13.54 states/eV/cell
* mass density: 6.084 g/cm3
* magnetic moment: 9.0 μB per formula unit
* energy: -169.866 eV per formula unit

a = 6.7030 Å, b = 6.7030 Å, c = 6.7030 Å
α = 103.20°, β = 103.20°, γ = 103.20°
Closest atoms and distances in Å follow each position.
Element x y z (fractional)
K 0.0000 0.0000 0.0000  6 O 2.80
Pu 0.0000 0.5541 0.4459  6 O 2.03-2.23
Pu 0.4459 0.0000 0.5541  6 O 2.03-2.23
Pu 0.5541 0.4459 0.0000  6 O 2.03-2.23
Be 0.0589 0.5000 0.9411  3 O 1.54-1.58
Be 0.5000 0.5000 0.5000  3 O 1.56
Be 0.5000 0.9411 0.0589  3 O 1.54-1.58
Be 0.9411 0.0589 0.5000  3 O 1.54-1.58
O 0.0206 0.6074 0.7621  1 Be 1.54
O 0.0915 0.9085 0.5000  1 Be 1.58
O 0.2379 0.3926 0.9794  1 Be 1.54
O 0.3518 0.6482 0.5000  1 Be 1.56
O 0.3926 0.9794 0.2379  1 Be 1.54
O 0.5000 0.0915 0.9085  1 Be 1.58
O 0.5000 0.3518 0.6482  1 Be 1.56
O 0.6074 0.7621 0.0206  1 Be 1.54
O 0.6482 0.5000 0.3518  1 Be 1.56
O 0.7621 0.0206 0.6074  1 Be 1.54
O 0.9085 0.5000 0.0915  1 Be 1.58
O 0.9794 0.2379 0.3926  1 Be 1.54


[5]
VASP calculation (PBE) on a geometry-optimized Li3Mg2Cd8 structure.

* DOS at the Fermi energy: 4.47 states/eV/cell
* mass density: 5.785 g/cm3
* magnetic moment: 0.0 μB per formula unit
* energy: -17.752 eV per formula unit
* energy relative to the lowest polymorph listed for this composition: 0.00 eV/f.u.
* formation energy from the elements: -115 meV/atom

a = 7.4808 Å, b = 7.4808 Å, c = 5.3053 Å
α = 104.48°, β = 104.48°, γ = 84.04°
Closest atoms and distances in Å follow each position.
Element x y z (fractional)
Li 0.0000 0.0000 0.0000  6 Cd 2.72-3.02
Li 0.2473 0.7527 0.5000  6 Cd 2.91-2.94
Li 0.7527 0.2473 0.5000  6 Cd 2.91-2.94
Mg 0.2906 0.2906 0.1141  9 Cd 2.90-3.17, 1 Li 3.08
Mg 0.7094 0.7094 0.8859  9 Cd 2.90-3.17, 1 Li 3.08
Cd 0.0811 0.5894 0.8298  2 Mg 2.90-3.08, 2 Li 2.93-3.02, 3 Cd 2.94-3.18
Cd 0.1423 0.1423 0.5297  3 Li 2.72-2.91, 1 Mg 2.98, 1 Cd 3.04
Cd 0.4106 0.9189 0.1702  2 Mg 2.90-3.08, 2 Li 2.93-3.02, 3 Cd 2.94-3.18
Cd 0.4321 0.4321 0.6995  3 Mg 2.90-3.10, 5 Cd 2.94-3.04, 2 Li 2.94
Cd 0.5679 0.5679 0.3005  3 Mg 2.90-3.10, 5 Cd 2.94-3.04, 2 Li 2.94
Cd 0.5894 0.0811 0.8298  2 Mg 2.90-3.08, 2 Li 2.93-3.02, 3 Cd 2.94-3.18
Cd 0.8577 0.8577 0.4703  3 Li 2.72-2.91, 1 Mg 2.98, 1 Cd 3.04
Cd 0.9189 0.4106 0.1702  2 Mg 2.90-3.08, 2 Li 2.93-3.02, 3 Cd 2.94-3.18


[6]
VASP calculation (PBE) on a geometry-optimized LiLaTc2O8 structure.

* DOS at the Fermi energy: 4.52 states/eV/cell
* mass density: 4.716 g/cm3
* magnetic moment: 2.0 μB per formula unit
* energy: -90.023 eV per formula unit

a = 6.9445 Å, b = 6.9445 Å, c = 6.9445 Å
α = 134.92°, β = 134.92°, γ = 65.66°
Closest atoms and distances in Å follow each position.
Element x y z (fractional)
Li 0.0000 0.0000 0.0000  8 O 2.50-2.52
La 0.2500 0.7500 0.5000  8 O 2.48-2.53
Tc 0.5000 0.5000 0.0000  4 O 1.79
Tc 0.7500 0.2500 0.5000  4 O 1.80
O 0.2684 0.6620 0.0925  1 Tc 1.79
O 0.3380 0.4306 0.6064  1 Tc 1.79
O 0.4207 0.0240 0.1035  1 Tc 1.80
O 0.5694 0.1758 0.9075  1 Tc 1.79
O 0.6828 0.5793 0.6033  1 Tc 1.80
O 0.8242 0.7316 0.3936  1 Tc 1.79
O 0.9205 0.3172 0.8965  1 Tc 1.80
O 0.9760 0.0795 0.3967  1 Tc 1.80


[7]
VASP calculation (PBE) on a geometry-optimized Cd2In2Se structure.

* DOS at the Fermi energy: 3.73 states/eV/cell
* mass density: 6.508 g/cm3
* magnetic moment: 0.0 μB per formula unit
* energy: -10.718 eV per formula unit
* energy relative to the lowest polymorph listed for this composition: 0.23 eV/f.u.

a = 7.6634 Å, b = 7.6634 Å, c = 4.6351 Å
α = 90.00°, β = 90.00°, γ = 90.00°
Closest atoms and distances in Å follow each position.
Element x y z (fractional)
Cd 0.1592 0.3408 0.0000  6 In 3.12-3.31, 1 Cd 3.45
Cd 0.3408 0.8408 0.0000  6 In 3.12-3.31, 1 Cd 3.45
Cd 0.6592 0.1592 0.0000  6 In 3.12-3.31, 1 Cd 3.45
Cd 0.8408 0.6592 0.0000  6 In 3.12-3.31, 1 Cd 3.45
In 0.1483 0.6483 0.5000  2 Se 2.93, 2 Cd 3.12, 1 In 3.21
In 0.3517 0.1483 0.5000  2 Se 2.93, 2 Cd 3.12, 1 In 3.21
In 0.6483 0.8517 0.5000  2 Se 2.93, 2 Cd 3.12, 1 In 3.21
In 0.8517 0.3517 0.5000  2 Se 2.93, 2 Cd 3.12, 1 In 3.21
Se 0.0000 0.0000 0.5000  4 In 2.93
Se 0.5000 0.5000 0.5000  4 In 2.93


[8]
VASP calculation (PBE) on a geometry-optimized ScIrNF2 structure.

* DOS at the Fermi energy: 4.36 states/eV/cell
* mass density: 6.909 g/cm3
* magnetic moment: 2.0 μB per formula unit
* energy: -31.286 eV per formula unit
* energy relative to the lowest polymorph listed for this composition: 0.00 eV/f.u.

a = 3.8686 Å, b = 3.8686 Å, c = 4.6436 Å
α = 90.00°, β = 90.00°, γ = 90.00°
Closest atoms and distances in Å follow each position.
Element x y z (fractional)
Sc 0.0000 0.0000 0.0000  4 F 1.93
Ir 0.5000 0.5000 0.5000  4 N 2.74, 8 F 3.02
N 0.0000 0.0000 0.5000  2 Sc 2.32
F 0.0000 0.5000 0.0000  2 Sc 1.93
F 0.5000 0.0000 0.0000  2 Sc 1.93